1.
First-principles (PBE) data for an optimized crystal structure of Hf5CoAs3, as listed in Alexandria.

```
Hf5CoAs3
1.0
3.682 0.000 0.000
0.000 10.465 0.000
0.000 0.000 17.399
Hf As Co
20 12 4
Direct
0.750 0.684 0.132
0.750 0.380 0.022
0.250 0.258 0.668
0.250 0.242 0.168
0.750 0.758 0.832
0.250 0.516 0.277
0.750 0.484 0.723
0.750 0.120 0.522
0.750 0.443 0.423
0.250 0.984 0.777
0.250 0.557 0.577
0.750 0.742 0.332
0.250 0.943 0.077
0.750 0.816 0.632
0.250 0.316 0.868
0.250 0.184 0.368
0.750 0.057 0.923
0.250 0.880 0.478
0.250 0.620 0.978
0.750 0.016 0.223
0.750 0.991 0.381
0.750 0.315 0.281
0.250 0.685 0.719
0.250 0.311 0.507
0.250 0.491 0.119
0.750 0.509 0.881
0.750 0.811 0.993
0.250 0.009 0.619
0.750 0.689 0.493
0.250 0.189 0.007
0.750 0.185 0.781
0.250 0.815 0.219
0.750 0.368 0.592
0.250 0.868 0.908
0.750 0.132 0.092
0.250 0.632 0.408
```

Computed properties:
Formation energy (meV per atom): -869
SG: Pnma
V (Å³ per cell): 670.3

***

2.
First-principles (PBE) data for an optimized crystal structure of HfCoAs2, as listed in Alexandria.

```
HfCoAs2
1.0
-2.578 -3.707 -0.066
-0.142 -2.716 3.605
-3.734 -0.199 2.532
Co As Hf
1 2 1
Direct
0.000 0.000 0.000
0.250 0.250 0.250
0.750 0.750 0.750
0.500 0.500 0.500
```

Computed properties:
Formation energy (meV per atom): -176
SG: Fm-3m
V (Å³ per cell): 65.1

***

3.
First-principles (PBE) data for an optimized crystal structure of Hf3CoAs, as listed in Alexandria.

```
Hf3CoAs
1.0
-0.966 -0.907 3.271
-5.567 -2.083 -4.130
3.264 -6.680 -0.890
Co Hf As
2 6 2
Direct
0.225 0.482 0.630
0.819 0.672 0.791
0.275 0.582 0.020
0.069 0.171 0.415
0.624 0.281 0.763
0.975 0.983 0.007
0.420 0.873 0.659
0.769 0.572 0.402
0.627 0.289 0.138
0.416 0.865 0.284
```

Computed properties:
Formation energy (meV per atom): -574
Polymorph energy (0 for the lowest one) (meV/atom): 0
SG: C2/m
V (Å³ per cell): 185.4

***

4.
First-principles (PBE) data for an optimized crystal structure of HfCoAs, as listed in Alexandria.

```
HfCoAs
1.0
3.451 0.000 0.000
0.000 3.960 0.000
0.000 -1.980 3.429
Co As Hf
1 1 1
Direct
0.167 0.333 0.667
0.167 0.000 0.000
0.667 0.667 0.333
```

Computed properties:
Formation energy (meV per atom): -694
SG: P-6m2
V (Å³ per cell): 46.9

***

What did the fourth record say?
First-principles (PBE) data for an optimized crystal structure of HfCoAs, as listed in Alexandria.

```
HfCoAs
1.0
3.451 0.000 0.000
0.000 3.960 0.000
0.000 -1.980 3.429
Co As Hf
1 1 1
Direct
0.167 0.333 0.667
0.167 0.000 0.000
0.667 0.667 0.333
```

Computed properties:
Formation energy (meV per atom): -694
SG: P-6m2
V (Å³ per cell): 46.9

***

Among the records above, which one has the highest V?
Hf5CoAs3